Record 1
## Nd2NbReN6 (PBE)

Data for a geometry-optimized Nd2NbReN6 structure.

Unit cell a=5.6344 b=5.7046 c=9.7507 alpha=90.00 beta=125.08 gamma=90.00
Fractional positions:
Nd (0.2433, 0.0428, 0.2498)
Nd (0.2433, 0.4572, 0.7498)
Nd (0.7567, 0.5428, 0.2502)
Nd (0.7567, 0.9572, 0.7502)
Nb (0.5000, 0.0000, 0.0000)
Nb (0.5000, 0.5000, 0.5000)
Re (0.0000, 0.0000, 0.5000)
Re (0.0000, 0.5000, 0.0000)
N (0.1678, 0.2166, 0.9607)
N (0.1678, 0.2834, 0.4607)
N (0.2407, 0.7060, 0.9613)
N (0.2407, 0.7940, 0.4613)
N (0.3176, 0.0131, 0.7435)
N (0.3176, 0.4869, 0.2435)
N (0.6824, 0.5131, 0.7565)
N (0.6824, 0.9869, 0.2565)
N (0.7593, 0.2060, 0.5387)
N (0.7593, 0.2940, 0.0387)
N (0.8322, 0.7166, 0.5393)
N (0.8322, 0.7834, 0.0393)

Output
As for the space-group type: No. 14.


Record 2
## NdScNbN3 (PBE)

Data for a geometry-optimized NdScNbN3 structure.

Unit cell a=5.7491 b=3.3368 c=8.5031 alpha=90.00 beta=103.95 gamma=90.00
Fractional positions:
Nd (0.1575, 0.2500, 0.1924)
Nd (0.8425, 0.7500, 0.8076)
Sc (0.2723, 0.7500, 0.5421)
Sc (0.7277, 0.2500, 0.4579)
Nb (0.3606, 0.2500, 0.8545)
Nb (0.6394, 0.7500, 0.1455)
N (0.0594, 0.2500, 0.6648)
N (0.2598, 0.7500, 0.9848)
N (0.4679, 0.7500, 0.3454)
N (0.5321, 0.2500, 0.6546)
N (0.7402, 0.2500, 0.0152)
N (0.9406, 0.7500, 0.3352)

Output
As for the space-group type: No. 11.


Record 3
## NdSm2NbN4 (PBE)

Data for a geometry-optimized NdSm2NbN4 structure.

Unit cell a=6.3163 b=6.3163 c=12.3945 alpha=90.00 beta=90.00 gamma=148.11
Fractional positions:
Nd (0.0994, 0.9006, 0.7500)
Nd (0.9006, 0.0994, 0.2500)
Sm (0.3697, 0.6303, 0.5355)
Sm (0.3697, 0.6303, 0.9645)
Sm (0.6303, 0.3697, 0.0355)
Sm (0.6303, 0.3697, 0.4645)
Nb (0.1618, 0.8382, 0.2500)
Nb (0.8382, 0.1618, 0.7500)
N (0.0000, 0.0000, 0.0000)
N (0.0000, 0.0000, 0.5000)
N (0.2633, 0.7367, 0.1272)
N (0.2633, 0.7367, 0.3728)
N (0.4432, 0.5568, 0.7500)
N (0.5568, 0.4432, 0.2500)
N (0.7367, 0.2633, 0.6272)
N (0.7367, 0.2633, 0.8728)

Output
As for the space-group type: No. 63.


| no. | magnetization (μB per formula unit) | uncorrected energy (eV/atom) |
| --- | --- | --- |
| 1 | 0.00 | -9.0129 |
| 2 | 0.00 | -9.0575 |
| 3 | 0.00 | -8.3495 |